(1)
A plane-wave DFT calculation with GGA-PBE was carried out for a relaxed La3OsPt crystal.

Cell lengths 8.770, 7.585, 8.908 Å; angles 90.00, 72.92, 90.00 degrees
Atoms (fractional coordinates):
Pt 0.184 0.466 0.904
Pt 0.316 0.966 0.096
Pt 0.684 0.034 0.904
Pt 0.816 0.534 0.096
La 0.602 0.843 0.219
La 0.102 0.657 0.219
La 0.785 0.991 0.543
La 0.285 0.509 0.543
La 0.991 0.805 0.848
La 0.009 0.195 0.152
La 0.898 0.343 0.781
La 0.509 0.305 0.152
La 0.491 0.695 0.848
La 0.215 0.009 0.457
La 0.398 0.157 0.781
La 0.715 0.491 0.457
Os 0.982 0.684 0.554
Os 0.518 0.184 0.446
Os 0.482 0.816 0.554
Os 0.018 0.316 0.446

Output
- offset from the most stable computed form (eV per formula unit) = 0.00
- volume (Å³/atom) = 28.321
- raw total energy (eV/cell) = -139.1
- formation enthalpy at 0 K (eV/atom) = -0.5467

---

(2)
A plane-wave DFT calculation with GGA-PBE was carried out for a relaxed LaOsPt4 crystal.

Cell lengths 5.388, 5.388, 5.388 Å; angles 60.00, 60.00, 60.00 degrees
Last column: magnetic moment on the atom in μB.
Atoms (fractional coordinates):
Os 0.000 0.000 0.000  1.83
La 0.750 0.750 0.750  0.01
Pt 0.374 0.374 0.374  0.12
Pt 0.374 0.878 0.374  0.12
Pt 0.878 0.374 0.374  0.12
Pt 0.374 0.374 0.878  0.12

Output
- volume (Å³/atom) = 18.437
- raw total energy (eV/cell) = -41.1
- formation enthalpy at 0 K (eV/atom) = -0.1364

---

(3)
A plane-wave DFT calculation with GGA-PBE was carried out for a relaxed LaOs2Pt crystal.

Cell lengths 4.308, 4.109, 4.109 Å; angles 90.00, 90.00, 90.00 degrees
Atoms (fractional coordinates):
Os 0.000 0.500 0.500
Os 0.000 0.000 0.000
La 0.500 0.000 0.500
Pt 0.500 0.500 0.000

Output
- offset from the most stable computed form (eV per formula unit) = 1.94
- volume (Å³/atom) = 18.182
- raw total energy (eV/cell) = -32.3
- formation enthalpy at 0 K (eV/atom) = 0.2894

---

(4)
A plane-wave DFT calculation with GGA-PBE was carried out for a relaxed LaOs3Pt crystal.

Cell lengths 4.826, 4.826, 4.826 Å; angles 90.00, 90.00, 90.00 degrees
Atoms (fractional coordinates):
Os 0.500 0.000 0.000
Os 0.000 0.000 0.500
Os 0.000 0.500 0.000
La 0.500 0.500 0.500
Pt 0.000 0.000 0.000

Output
- offset from the most stable computed form (eV per formula unit) = 0.00
- volume (Å³/atom) = 22.485
- raw total energy (eV/cell) = -36.9
- formation enthalpy at 0 K (eV/atom) = 1.5570

---

(5)
A plane-wave DFT calculation with GGA-PBE was carried out for a relaxed LaOs2Pt crystal.

Cell lengths 10.178, 10.178, 10.178 Å; angles 16.02, 16.02, 16.02 degrees
Last column: magnetic moment on the atom in μB.
Atoms (fractional coordinates):
Os 0.510 0.510 0.510  0.00
Os 0.990 0.990 0.990  0.00
Pt 0.250 0.250 0.250  0.00
La 0.750 0.750 0.750  0.13

Output
- offset from the most stable computed form (eV per formula unit) = 3.34
- volume (Å³/atom) = 17.510
- raw total energy (eV/cell) = -30.9
- formation enthalpy at 0 K (eV/atom) = 0.6398

---

(6)
A plane-wave DFT calculation with GGA-PBE was carried out for a relaxed LaOsPt3 crystal.

Cell lengths 4.894, 4.894, 4.894 Å; angles 90.00, 90.00, 90.00 degrees
Atoms (fractional coordinates):
Pt 0.000 0.500 0.000
Pt 0.500 0.000 0.000
Pt 0.000 0.000 0.500
La 0.500 0.500 0.500
Os 0.000 0.000 0.000

Output
- offset from the most stable computed form (eV per formula unit) = 0.00
- volume (Å³/atom) = 23.442
- raw total energy (eV/cell) = -33.6
- formation enthalpy at 0 K (eV/atom) = 0.1295

---

(7)
A plane-wave DFT calculation with GGA-PBE was carried out for a relaxed LaOs2Pt crystal.

Cell lengths 4.971, 4.971, 5.459 Å; angles 80.25, 80.25, 34.83 degrees
Atoms (fractional coordinates):
Os 0.013 0.013 0.935
Os 0.487 0.487 0.565
La 0.250 0.250 0.250
Pt 0.750 0.750 0.750

Output
- offset from the most stable computed form (eV per formula unit) = 1.86
- volume (Å³/atom) = 18.954
- raw total energy (eV/cell) = -32.3
- formation enthalpy at 0 K (eV/atom) = 0.2697

---

(8)
A plane-wave DFT calculation with GGA-PBE was carried out for a relaxed LaOs2Pt crystal.

Cell lengths 2.861, 3.706, 7.144 Å; angles 90.00, 90.00, 90.00 degrees
Atoms (fractional coordinates):
Os 0.000 0.000 0.072
Os 0.500 0.500 0.224
Pt 0.000 0.000 0.457
La 0.500 0.500 0.747

Output
- offset from the most stable computed form (eV per formula unit) = 0.88
- volume (Å³/atom) = 18.939
- raw total energy (eV/cell) = -33.3
- formation enthalpy at 0 K (eV/atom) = 0.0255

---

(9)
A plane-wave DFT calculation with GGA-PBE was carried out for a relaxed LaOs2Pt crystal.

Cell lengths 10.088, 10.088, 10.088 Å; angles 16.28, 16.28, 16.28 degrees
Last column: magnetic moment on the atom in μB.
Atoms (fractional coordinates):
Os 0.988 0.988 0.988  0.00
Os 0.253 0.253 0.253  0.00
Pt 0.509 0.509 0.509  0.00
La 0.750 0.750 0.750  0.23

Output
- offset from the most stable computed form (eV per formula unit) = 2.37
- volume (Å³/atom) = 17.596
- raw total energy (eV/cell) = -31.8
- formation enthalpy at 0 K (eV/atom) = 0.3961

---

(10)
A plane-wave DFT calculation with GGA-PBE was carried out for a relaxed LaOs2Pt crystal.

Cell lengths 4.327, 4.327, 5.876 Å; angles 68.47, 68.47, 59.98 degrees
Atoms (fractional coordinates):
Os 0.270 0.270 0.191
Os 0.944 0.944 0.170
Pt 0.537 0.537 0.390
La 0.750 0.750 0.750

Output
- offset from the most stable computed form (eV per formula unit) = 0.00
- volume (Å³/atom) = 21.572
- raw total energy (eV/cell) = -34.2
- formation enthalpy at 0 K (eV/atom) = -0.1955

---

(11)
A plane-wave DFT calculation with GGA-PBE was carried out for a relaxed La6OsPt3 crystal.

Cell lengths 7.125, 7.800, 10.800 Å; angles 90.00, 91.09, 90.00 degrees
Atoms (fractional coordinates):
La 0.660 0.439 0.744
La 0.318 0.825 0.926
La 0.830 0.687 0.081
La 0.818 0.675 0.426
La 0.840 0.939 0.756
La 0.340 0.561 0.256
La 0.670 0.187 0.419
La 0.160 0.061 0.244
La 0.330 0.813 0.581
La 0.170 0.313 0.919
La 0.682 0.175 0.074
La 0.182 0.325 0.574
Os 0.000 0.000 0.000
Os 0.500 0.500 0.500
Pt 0.046 0.606 0.744
Pt 0.500 0.500 0.000
Pt 0.000 0.000 0.500
Pt 0.954 0.394 0.256
Pt 0.546 0.894 0.244
Pt 0.454 0.106 0.756

Output
- volume (Å³/atom) = 30.004
- raw total energy (eV/cell) = -133.1
- formation enthalpy at 0 K (eV/atom) = -0.7646

---

(12)
A plane-wave DFT calculation with GGA-PBE was carried out for a relaxed LaOs3Pt crystal.

Cell lengths 4.778, 4.778, 4.778 Å; angles 90.00, 90.00, 90.00 degrees
Last column: magnetic moment on the atom in μB.
Atoms (fractional coordinates):
Pt 0.500 0.500 0.500  0.30
Os 0.000 0.000 0.500  0.98
Os 0.000 0.500 0.000  1.17
Os 0.500 0.000 0.000  1.14
La 0.000 0.000 0.000  -0.07

Output
- offset from the most stable computed form (eV per formula unit) = 7.18
- volume (Å³/atom) = 21.813
- raw total energy (eV/cell) = -29.7
- formation enthalpy at 0 K (eV/atom) = 2.9923

---

(13)
A plane-wave DFT calculation with GGA-PBE was carried out for a relaxed La3OsPt crystal.

Cell lengths 5.467, 5.467, 5.467 Å; angles 90.00, 90.00, 90.00 degrees
Atoms (fractional coordinates):
Pt 0.500 0.500 0.500
Os 0.000 0.000 0.000
La 0.500 0.000 0.000
La 0.000 0.500 0.000
La 0.000 0.000 0.500

Output
- offset from the most stable computed form (eV per formula unit) = 2.39
- volume (Å³/atom) = 32.687
- raw total energy (eV/cell) = -32.4
- formation enthalpy at 0 K (eV/atom) = -0.0681

---

(14)
A plane-wave DFT calculation with GGA-PBE was carried out for a relaxed La4OsPt crystal.

Cell lengths 7.164, 7.201, 8.659 Å; angles 67.67, 65.66, 90.02 degrees
Atoms (fractional coordinates):
Pt 0.240 0.750 0.000
Pt 0.760 0.250 0.000
La 0.657 0.062 0.756
La 0.903 0.355 0.261
La 0.166 0.145 0.739
La 0.412 0.438 0.244
La 0.097 0.645 0.739
La 0.834 0.855 0.261
La 0.588 0.562 0.756
La 0.343 0.938 0.244
Os 0.000 0.000 0.500
Os 0.500 0.500 0.500

Output
- offset from the most stable computed form (eV per formula unit) = 0.00
- volume (Å³/atom) = 30.824
- raw total energy (eV/cell) = -79.5
- formation enthalpy at 0 K (eV/atom) = -0.4640

---

(15)
A plane-wave DFT calculation with GGA-PBE was carried out for a relaxed LaOs2Pt crystal.

Cell lengths 4.687, 4.687, 4.687 Å; angles 60.00, 60.00, 60.00 degrees
Atoms (fractional coordinates):
Pt 0.500 0.500 0.500
La 0.000 0.000 0.000
Os 0.250 0.250 0.250
Os 0.750 0.750 0.750

Output
- offset from the most stable computed form (eV per formula unit) = 3.56
- volume (Å³/atom) = 18.199
- raw total energy (eV/cell) = -30.6
- formation enthalpy at 0 K (eV/atom) = 0.6946

---

(16)
A plane-wave DFT calculation with GGA-PBE was carried out for a relaxed La5OsPt crystal.

Cell lengths 9.485, 9.485, 6.230 Å; angles 62.09, 62.09, 77.22 degrees
Atoms (fractional coordinates):
La 0.117 0.841 0.420
La 0.103 0.397 0.750
La 0.420 0.196 0.924
La 0.696 0.920 0.424
La 0.304 0.080 0.576
La 0.580 0.804 0.076
La 0.897 0.603 0.250
La 0.341 0.617 0.920
La 0.659 0.383 0.080
La 0.883 0.159 0.580
Pt 0.500 0.500 0.500
Pt 0.000 0.000 0.000
Os 0.846 0.654 0.750
Os 0.154 0.346 0.250

Output
- volume (Å³/atom) = 31.263
- raw total energy (eV/cell) = -87.9
- formation enthalpy at 0 K (eV/atom) = -0.2931

---

(17)
A plane-wave DFT calculation with GGA-PBE was carried out for a relaxed LaOs2Pt crystal.

Cell lengths 5.154, 5.154, 5.154 Å; angles 132.60, 132.60, 69.28 degrees
Atoms (fractional coordinates):
La 0.750 0.250 0.500
Os 0.000 0.000 0.000
Os 0.500 0.500 0.000
Pt 0.250 0.750 0.500

Output
- offset from the most stable computed form (eV per formula unit) = 2.62
- volume (Å³/atom) = 18.197
- raw total energy (eV/cell) = -31.6
- formation enthalpy at 0 K (eV/atom) = 0.4583

---

(18)
A plane-wave DFT calculation with GGA-PBE was carried out for a relaxed LaOs2Pt crystal.

Cell lengths 4.286, 4.286, 10.106 Å; angles 77.76, 77.76, 90.00 degrees
Atoms (fractional coordinates):
La 0.500 0.500 0.000
La 0.250 0.750 0.500
Os 0.375 0.250 0.750
Os 0.875 0.000 0.750
Os 0.750 0.125 0.250
Os 0.000 0.625 0.250
Pt 0.000 0.000 0.000
Pt 0.750 0.250 0.500

Output
- offset from the most stable computed form (eV per formula unit) = 1.73
- volume (Å³/atom) = 22.142
- raw total energy (eV/cell) = -65.0
- formation enthalpy at 0 K (eV/atom) = 0.2375

---

(19)
A plane-wave DFT calculation with GGA-PBE was carried out for a relaxed LaOs2Pt crystal.

Cell lengths 2.919, 2.919, 8.431 Å; angles 90.00, 90.00, 90.00 degrees
Atoms (fractional coordinates):
Os 0.500 0.500 0.236
Os 0.000 0.000 0.047
Pt 0.000 0.000 0.466
La 0.500 0.500 0.751

Output
- offset from the most stable computed form (eV per formula unit) = 1.07
- volume (Å³/atom) = 17.963
- raw total energy (eV/cell) = -33.1
- formation enthalpy at 0 K (eV/atom) = 0.0709

---

(20)
A plane-wave DFT calculation with GGA-PBE was carried out for a relaxed LaOs2Pt crystal.

Cell lengths 4.712, 4.712, 4.712 Å; angles 60.00, 60.00, 60.00 degrees
Atoms (fractional coordinates):
Os 0.000 0.000 0.000
Os 0.250 0.250 0.250
Pt 0.750 0.750 0.750
La 0.500 0.500 0.500

Output
- offset from the most stable computed form (eV per formula unit) = 2.78
- volume (Å³/atom) = 18.492
- raw total energy (eV/cell) = -31.4
- formation enthalpy at 0 K (eV/atom) = 0.4995